Entry 1:
# GGA-PBE LiScW2, relaxed
data_LiScW2
_chemical_formula_sum 'Li3 Sc3 W6'
_space_group_name_H-M_alt 'R -3 m'
_space_group_IT_number 166
_space_group_name_Hall '-R 3 2"'
_cell_length_a 2.8495
_cell_length_b 2.8495
_cell_length_c 29.7419
_cell_angle_alpha 90.00
_cell_angle_beta 90.00
_cell_angle_gamma 120.00
loop_
_atom_site_label
_atom_site_type_symbol
_atom_site_fract_x
_atom_site_fract_y
_atom_site_fract_z
Li1 Li 0.0000 0.0000 0.0000
Sc1 Sc 0.0000 0.0000 0.5000
W1 W 0.0000 0.0000 0.2504
# - Offset from the most stable computed form: 248.3 meV per atom
# - E_tot: -96.07 eV for the cell shown
# - DOS at the Fermi energy: 16.01 states/eV/cell

---

Entry 2:
# GGA-PBE LiScW2, relaxed
data_LiScW2
_chemical_formula_sum 'Li2 Sc2 W4'
_space_group_name_H-M_alt 'C 1 m 1'
_space_group_IT_number 8
_cell_length_a 9.181
_cell_length_b 2.705
_cell_length_c 5.548
_cell_angle_alpha 90.00
_cell_angle_beta 93.07
_cell_angle_gamma 90.00
loop_
_space_group_symop_operation_xyz
'x,y,z'
'x,-y,z'
'x+1/2,y+1/2,z'
'x+1/2,-y+1/2,z'
loop_
_atom_site_label
_atom_site_type_symbol
_atom_site_fract_x
_atom_site_fract_y
_atom_site_fract_z
Li1 Li 0.000 0.000 0.000
Sc1 Sc 0.245 0.000 0.748
W1 W 0.245 0.500 0.259
W2 W 0.497 0.000 0.467
# - Offset from the most stable computed form: 133.2 meV per atom
# - E_tot: -64.97 eV for the cell shown
# - DOS at the Fermi energy: 5.36 states/eV/cell

---

Entry 3:
# GGA-PBE LiSc2W, relaxed
data_LiSc2W
_chemical_formula_sum 'Li2 Sc4 W2'
_space_group_name_H-M_alt 'C m m m'
_space_group_IT_number 65
_space_group_name_Hall '-C 2 2'
_cell_length_a 3.572
_cell_length_b 4.636
_cell_length_c 9.851
_cell_angle_alpha 90.00
_cell_angle_beta 90.00
_cell_angle_gamma 90.00
loop_
_atom_site_label
_atom_site_type_symbol
_atom_site_fract_x
_atom_site_fract_y
_atom_site_fract_z
Li1 Li 0.000 0.000 0.000
Sc1 Sc 0.000 0.500 0.277
W1 W 0.000 0.000 0.500
# - Offset from the most stable computed form: 0.0 meV per atom
# - E_tot: -53.42 eV for the cell shown
# - DOS at the Fermi energy: 9.04 states/eV/cell

---

Entry 4:
# GGA-PBE LiScW2, relaxed
data_LiScW2
_chemical_formula_sum 'Li1 Sc1 W2'
_space_group_name_H-M_alt 'P 1 m 1'
_space_group_IT_number 6
_cell_length_a 2.746
_cell_length_b 4.464
_cell_length_c 5.740
_cell_angle_alpha 90.00
_cell_angle_beta 100.26
_cell_angle_gamma 90.00
loop_
_space_group_symop_operation_xyz
'x,y,z'
'x,-y,z'
loop_
_atom_site_label
_atom_site_type_symbol
_atom_site_fract_x
_atom_site_fract_y
_atom_site_fract_z
Li1 Li 0.000 0.000 0.000
Sc1 Sc 0.710 0.500 0.265
W1 W 0.236 0.500 0.738
W2 W 0.443 0.000 0.539
# - Offset from the most stable computed form: 48.7 meV per atom
# - E_tot: -32.82 eV for the cell shown
# - DOS at the Fermi energy: 2.71 states/eV/cell

---

Entry 5:
# GGA-PBE LiScW2, relaxed
data_LiScW2
_chemical_formula_sum 'Li2 Sc2 W4'
_space_group_name_H-M_alt 'C m m 2'
_space_group_IT_number 35
_cell_length_a 3.223
_cell_length_b 4.567
_cell_length_c 9.619
_cell_angle_alpha 90.00
_cell_angle_beta 90.00
_cell_angle_gamma 90.00
loop_
_space_group_symop_operation_xyz
'x,y,z'
'-x,-y,z'
'-x,y,z'
'x,-y,z'
'x+1/2,y+1/2,z'
'-x+1/2,-y+1/2,z'
'-x+1/2,y+1/2,z'
'x+1/2,-y+1/2,z'
loop_
_atom_site_label
_atom_site_type_symbol
_atom_site_fract_x
_atom_site_fract_y
_atom_site_fract_z
Li1 Li 0.000 0.000 0.000
Sc1 Sc 0.000 0.500 0.284
W1 W 0.000 0.000 0.533
W2 W 0.000 0.500 0.758
# - Offset from the most stable computed form: 17.3 meV per atom
# - E_tot: -65.89 eV for the cell shown
# - DOS at the Fermi energy: 7.99 states/eV/cell

---

Entry 6:
# GGA-PBE LiScW2, relaxed
data_LiScW2
_chemical_formula_sum 'Li1 Sc1 W2'
_space_group_name_H-M_alt 'P 4/m m m'
_space_group_IT_number 123
_space_group_name_Hall '-P 4 2'
_cell_length_a 3.782
_cell_length_b 3.782
_cell_length_c 4.696
_cell_angle_alpha 90.00
_cell_angle_beta 90.00
_cell_angle_gamma 90.00
loop_
_atom_site_label
_atom_site_type_symbol
_atom_site_fract_x
_atom_site_fract_y
_atom_site_fract_z
Li1 Li 0.000 0.000 0.000
Sc1 Sc 0.500 0.500 0.000
W1 W 0.000 0.500 0.500
# - Offset from the most stable computed form: 79.7 meV per atom
# - E_tot: -32.70 eV for the cell shown
# - DOS at the Fermi energy: 3.07 states/eV/cell

---

Entry 7:
# GGA-PBE LiScW2, relaxed
data_LiScW2
_chemical_formula_sum 'Li1 Sc1 W2'
_space_group_name_H-M_alt 'P 4/m m m'
_space_group_IT_number 123
_space_group_name_Hall '-P 4 2'
_cell_length_a 3.270
_cell_length_b 3.270
_cell_length_c 6.163
_cell_angle_alpha 90.00
_cell_angle_beta 90.00
_cell_angle_gamma 90.00
loop_
_atom_site_label
_atom_site_type_symbol
_atom_site_fract_x
_atom_site_fract_y
_atom_site_fract_z
Li1 Li 0.000 0.000 0.000
Sc1 Sc 0.000 0.000 0.500
W1 W 0.500 0.500 0.195
# - Offset from the most stable computed form: 396.8 meV per atom
# - E_tot: -31.43 eV for the cell shown
# - DOS at the Fermi energy: 5.16 states/eV/cell

---

Entry 8:
# GGA-PBE LiScW2, relaxed
data_LiScW2
_chemical_formula_sum 'Li1 Sc1 W2'
_space_group_name_H-M_alt 'P 4 m m'
_space_group_IT_number 99
_cell_length_a 3.271
_cell_length_b 3.271
_cell_length_c 6.453
_cell_angle_alpha 90.00
_cell_angle_beta 90.00
_cell_angle_gamma 90.00
loop_
_space_group_symop_operation_xyz
'x,y,z'
'-y,x,z'
'-x,-y,z'
'y,-x,z'
'-x,y,z'
'y,x,z'
'x,-y,z'
'-y,-x,z'
loop_
_atom_site_label
_atom_site_type_symbol
_atom_site_fract_x
_atom_site_fract_y
_atom_site_fract_z
Li1 Li 0.000 0.000 0.000
Sc1 Sc 0.500 0.500 0.279
W1 W 0.000 0.000 0.559
W2 W 0.500 0.500 0.759
# - Offset from the most stable computed form: 18.1 meV per atom
# - E_tot: -32.94 eV for the cell shown
# - DOS at the Fermi energy: 4.86 states/eV/cell

---

Entry 9:
# GGA-PBE LiSc4W, relaxed
data_LiSc4W
_chemical_formula_sum 'Li4 Sc16 W4'
_space_group_name_H-M_alt 'F -4 3 m'
_space_group_IT_number 216
_space_group_name_Hall 'F -4 2 3'
_cell_length_a 8.010
_cell_length_b 8.010
_cell_length_c 8.010
_cell_angle_alpha 90.00
_cell_angle_beta 90.00
_cell_angle_gamma 90.00
loop_
_atom_site_label
_atom_site_type_symbol
_atom_site_fract_x
_atom_site_fract_y
_atom_site_fract_z
Li1 Li 0.000 0.000 0.000
Sc1 Sc 0.123 0.123 0.377
W1 W 0.250 0.250 0.750
# - E_tot: -143.13 eV for the cell shown
# - DOS at the Fermi energy: 33.39 states/eV/cell

---

Entry 10:
# GGA-PBE LiSc2W, relaxed
data_LiSc2W
_chemical_formula_sum 'Li1 Sc2 W1'
_space_group_name_H-M_alt 'P 4/m m m'
_space_group_IT_number 123
_space_group_name_Hall '-P 4 2'
_cell_length_a 3.227
_cell_length_b 3.227
_cell_length_c 8.048
_cell_angle_alpha 90.00
_cell_angle_beta 90.00
_cell_angle_gamma 90.00
loop_
_atom_site_label
_atom_site_type_symbol
_atom_site_fract_x
_atom_site_fract_y
_atom_site_fract_z
Li1 Li 0.000 0.000 0.000
Sc1 Sc 0.500 0.500 0.289
W1 W 0.000 0.000 0.500
# - Offset from the most stable computed form: 16.0 meV per atom
# - E_tot: -26.65 eV for the cell shown
# - DOS at the Fermi energy: 5.01 states/eV/cell

---

Entry 11:
# GGA-PBE LiScW4, relaxed
data_LiScW4
_chemical_formula_sum 'Li4 Sc4 W16'
_space_group_name_H-M_alt 'F -4 3 m'
_space_group_IT_number 216
_space_group_name_Hall 'F -4 2 3'
_cell_length_a 7.587
_cell_length_b 7.587
_cell_length_c 7.587
_cell_angle_alpha 90.00
_cell_angle_beta 90.00
_cell_angle_gamma 90.00
loop_
_atom_site_label
_atom_site_type_symbol
_atom_site_fract_x
_atom_site_fract_y
_atom_site_fract_z
Li1 Li 0.000 0.000 0.000
Sc1 Sc 0.250 0.250 0.750
W1 W 0.125 0.125 0.375
# - E_tot: -229.56 eV for the cell shown
# - DOS at the Fermi energy: 33.44 states/eV/cell

---

Entry 12:
# GGA-PBE LiSc2W, relaxed
data_LiSc2W
_chemical_formula_sum 'Li2 Sc4 W2'
_space_group_name_H-M_alt 'C m m m'
_space_group_IT_number 65
_space_group_name_Hall '-C 2 2'
_cell_length_a 6.689
_cell_length_b 7.624
_cell_length_c 3.002
_cell_angle_alpha 90.00
_cell_angle_beta 90.00
_cell_angle_gamma 90.00
loop_
_atom_site_label
_atom_site_type_symbol
_atom_site_fract_x
_atom_site_fract_y
_atom_site_fract_z
Li1 Li 0.000 0.000 0.000
Sc1 Sc 0.250 0.250 0.500
W1 W 0.000 0.500 0.000
# - Offset from the most stable computed form: 82.6 meV per atom
# - E_tot: -52.76 eV for the cell shown
# - DOS at the Fermi energy: 5.73 states/eV/cell

---

Entry 13:
# GGA-PBE LiSc2W, relaxed
data_LiSc2W
_chemical_formula_sum 'Li2 Sc4 W2'
_space_group_name_H-M_alt 'C 1 2/m 1'
_space_group_IT_number 12
_cell_length_a 9.300
_cell_length_b 2.862
_cell_length_c 5.941
_cell_angle_alpha 90.00
_cell_angle_beta 96.97
_cell_angle_gamma 90.00
loop_
_space_group_symop_operation_xyz
'x,y,z'
'-x,-y,-z'
'-x,y,-z'
'x,-y,z'
'x+1/2,y+1/2,z'
'-x+1/2,-y+1/2,-z'
'-x+1/2,y+1/2,-z'
'x+1/2,-y+1/2,z'
loop_
_atom_site_label
_atom_site_type_symbol
_atom_site_fract_x
_atom_site_fract_y
_atom_site_fract_z
Li1 Li 0.000 0.000 0.000
Sc1 Sc 0.243 0.000 0.731
W1 W 0.000 0.500 0.500
# - Offset from the most stable computed form: 179.1 meV per atom
# - E_tot: -51.99 eV for the cell shown
# - DOS at the Fermi energy: 7.74 states/eV/cell

---

Entry 14:
# GGA-PBE LiScW, relaxed
data_LiScW
_chemical_formula_sum 'Li4 Sc4 W4'
_space_group_name_H-M_alt 'F m m 2'
_space_group_IT_number 42
_space_group_name_Hall 'F 2 -2'
_cell_length_a 3.436
_cell_length_b 4.381
_cell_length_c 14.601
_cell_angle_alpha 90.00
_cell_angle_beta 90.00
_cell_angle_gamma 90.00
loop_
_atom_site_label
_atom_site_type_symbol
_atom_site_fract_x
_atom_site_fract_y
_atom_site_fract_z
Li1 Li 0.000 0.000 0.000
Sc1 Sc 0.000 0.000 0.312
W1 W 0.000 0.000 0.658
# - Offset from the most stable computed form: 0.0 meV per atom
# - E_tot: -80.59 eV for the cell shown
# - DOS at the Fermi energy: 6.80 states/eV/cell

---

Entry 15:
# GGA-PBE LiScW2, relaxed
data_LiScW2
_chemical_formula_sum 'Li1 Sc1 W2'
_space_group_name_H-M_alt 'P 1 2/m 1'
_space_group_IT_number 10
_cell_length_a 2.728
_cell_length_b 4.854
_cell_length_c 5.181
_cell_angle_alpha 90.00
_cell_angle_beta 100.12
_cell_angle_gamma 90.00
loop_
_space_group_symop_operation_xyz
'x,y,z'
'-x,-y,-z'
'-x,y,-z'
'x,-y,z'
loop_
_atom_site_label
_atom_site_type_symbol
_atom_site_fract_x
_atom_site_fract_y
_atom_site_fract_z
Li1 Li 0.000 0.000 0.000
Sc1 Sc 0.500 0.000 0.500
W1 W 0.187 0.500 0.749
# - Offset from the most stable computed form: 78.3 meV per atom
# - E_tot: -32.70 eV for the cell shown
# - DOS at the Fermi energy: 2.44 states/eV/cell

---

It is found that the DFT formation energy values, taken in the order of the records, are 0.53 0.42 0.20 0.33 0.30 0.36 0.68 0.30 0.74 0.22 0.44 0.29 0.38 0.35 0.36 eV per atom.
It is found that the density values, taken in the order of the records, are 9.99 10.13 5.71 10.06 9.84 10.37 10.57 10.09 4.79 5.56 11.97 6.09 5.94 7.13 10.32 g/cm3.